Entry 1:
Here is an optimized crystal structure of La2Tb2Nd5 from Alexandria. Energies are from PBE.

Unit cell a=10.2972 b=10.2972 c=10.2972 alpha=85.21 beta=108.06 gamma=140.67
Last column: nearest neighbours and their distance in Å.
Sites, in units of the cell vectors:
La  0.0036  0.1257  0.1293  4 Nd 3.43-3.64, 2 Tb 3.72-3.76, 2 La 3.77-3.81
La  0.0036  0.3743  0.3779  4 Nd 3.43-3.64, 2 Tb 3.72-3.76, 2 La 3.77-3.81
La  0.9964  0.6257  0.6221  4 Nd 3.43-3.64, 2 Tb 3.72-3.76, 2 La 3.77-3.81
La  0.9964  0.8743  0.8707  4 Nd 3.43-3.64, 2 Tb 3.72-3.76, 2 La 3.77-3.81
Tb  0.4682  0.4682  0.0000  4 Nd 3.36-3.71
Tb  0.4682  0.9682  0.5000  4 Nd 3.36-3.71
Tb  0.5292  0.2864  0.7428  4 Nd 3.49-3.70, 2 La 3.72, 2 Tb 3.82
Tb  0.5437  0.7864  0.2572  4 Nd 3.49-3.70, 2 La 3.72, 2 Tb 3.82
Nd  0.0840  0.1745  0.6233  4 Nd 3.21-3.49, 2 La 3.43-3.56, 1 Tb 3.53
Nd  0.0840  0.9607  0.4095  4 Nd 3.21-3.49, 2 La 3.43-3.56, 1 Tb 3.53
Nd  0.0906  0.6013  0.9894  6 Nd 3.30-3.62, 1 Tb 3.49, 2 La 3.64
Nd  0.3989  0.0943  0.1975  4 Nd 3.21-3.47, 1 Tb 3.36, 1 La 3.43
Nd  0.3989  0.7013  0.8046  4 Nd 3.21-3.47, 1 Tb 3.36, 1 La 3.43
Nd  0.5512  0.4607  0.3767  4 Nd 3.21-3.49, 2 La 3.43-3.56, 1 Tb 3.53
Nd  0.5512  0.6745  0.5905  4 Nd 3.21-3.49, 2 La 3.43-3.56, 1 Tb 3.53
Nd  0.6119  0.1013  0.0106  6 Nd 3.30-3.62, 1 Tb 3.49, 2 La 3.64
Nd  0.8968  0.2013  0.8025  4 Nd 3.21-3.47, 1 Tb 3.36, 1 La 3.43
Nd  0.8968  0.5943  0.1954  4 Nd 3.21-3.47, 1 Tb 3.36, 1 La 3.43

- symmetry = Ima2, No. 46
- volume (Å³/f.u.) = 317.7
- calculated formation energy (meV per atom) = 185

Entry 2:
Here is an optimized crystal structure of La2TbNd6 from Alexandria. Energies are from PBE.

Unit cell a=11.0325 b=11.0325 c=5.2286 alpha=90.00 beta=90.00 gamma=90.00
Last column: nearest neighbours and their distance in Å.
Sites, in units of the cell vectors:
La  0.1647  0.1647  0.0000  10 Nd 3.66-3.70, 2 Tb 3.67
La  0.3353  0.6647  0.5000  10 Nd 3.66-3.70, 2 Tb 3.67
La  0.6647  0.3353  0.5000  10 Nd 3.66-3.70, 2 Tb 3.67
La  0.8353  0.8353  0.0000  10 Nd 3.66-3.70, 2 Tb 3.67
Tb  0.0000  0.0000  0.5000  4 La 3.67, 8 Nd 3.68-3.70
Tb  0.5000  0.5000  0.0000  4 La 3.67, 8 Nd 3.68-3.70
Nd  0.0001  0.3332  0.5000  8 Nd 3.67-3.69, 1 Tb 3.68, 3 La 3.69-3.70
Nd  0.9999  0.6668  0.5000  8 Nd 3.67-3.69, 1 Tb 3.68, 3 La 3.69-3.70
Nd  0.1668  0.5001  0.0000  8 Nd 3.67-3.69, 1 Tb 3.68, 3 La 3.69-3.70
Nd  0.1675  0.8325  0.0000  4 La 3.66-3.70, 6 Nd 3.67-3.69, 2 Tb 3.70
Nd  0.3332  0.0001  0.5000  8 Nd 3.67-3.69, 1 Tb 3.68, 3 La 3.69-3.70
Nd  0.3325  0.3325  0.5000  4 La 3.66-3.70, 6 Nd 3.67-3.69, 2 Tb 3.70
Nd  0.5001  0.1668  0.0000  8 Nd 3.67-3.69, 1 Tb 3.68, 3 La 3.69-3.70
Nd  0.4999  0.8332  0.0000  8 Nd 3.67-3.69, 1 Tb 3.68, 3 La 3.69-3.70
Nd  0.6668  0.9999  0.5000  8 Nd 3.67-3.69, 1 Tb 3.68, 3 La 3.69-3.70
Nd  0.6675  0.6675  0.5000  4 La 3.66-3.70, 6 Nd 3.67-3.69, 2 Tb 3.70
Nd  0.8325  0.1675  0.0000  4 La 3.66-3.70, 6 Nd 3.67-3.69, 2 Tb 3.70
Nd  0.8332  0.4999  0.0000  8 Nd 3.67-3.69, 1 Tb 3.68, 3 La 3.69-3.70

- symmetry = P4_2/mnm, No. 136
- volume (Å³/f.u.) = 318.2
- calculated formation energy (meV per atom) = 16

Entry 3:
Here is an optimized crystal structure of LaTb4Nd4 from Alexandria. Energies are from PBE.

Unit cell a=8.1345 b=8.1345 c=8.1345 alpha=95.72 beta=95.72 gamma=143.19
Last column: nearest neighbours and their distance in Å.
Sites, in units of the cell vectors:
La  0.0000  0.0000  0.0000  4 Nd 3.63, 8 Tb 3.65
Tb  0.3324  0.3324  0.6648  4 Tb 3.62-3.66, 6 Nd 3.63, 2 La 3.65
Tb  0.3324  0.6676  0.0000  4 Tb 3.62-3.66, 6 Nd 3.63, 2 La 3.65
Tb  0.6676  0.3324  0.0000  4 Tb 3.62-3.66, 6 Nd 3.63, 2 La 3.65
Tb  0.6676  0.6676  0.3352  4 Tb 3.62-3.66, 6 Nd 3.63, 2 La 3.65
Nd  0.0000  0.3321  0.3321  1 La 3.63, 6 Tb 3.63, 5 Nd 3.65-3.67
Nd  0.0000  0.6679  0.6679  1 La 3.63, 6 Tb 3.63, 5 Nd 3.65-3.67
Nd  0.3321  0.0000  0.3321  1 La 3.63, 6 Tb 3.63, 5 Nd 3.65-3.67
Nd  0.6679  0.0000  0.6679  1 La 3.63, 6 Tb 3.63, 5 Nd 3.65-3.67

- symmetry = I4/mmm, No. 139
- volume (Å³/f.u.) = 306.0
- calculated formation energy (meV per atom) = 18

Entry 4:
Here is an optimized crystal structure of La2Tb3Nd7 from Alexandria. Energies are from PBE.

Unit cell a=19.6995 b=19.6995 c=3.6773 alpha=90.00 beta=90.00 gamma=162.79
Last column: nearest neighbours and their distance in Å.
Sites, in units of the cell vectors:
La  0.1487  0.8513  0.0000  3 Nd 3.22-3.52
La  0.8513  0.1487  0.0000  3 Nd 3.22-3.52
Tb  0.3140  0.6860  0.5000  2 Tb 3.68, 6 Nd 3.71-3.90, 4 La 3.77
Tb  0.5000  0.5000  0.5000  4 Nd 3.47, 2 Tb 3.68
Tb  0.6860  0.3140  0.5000  2 Tb 3.68, 6 Nd 3.71-3.90, 4 La 3.77
Nd  0.0000  0.0000  0.0000  6 Nd 3.34-3.68, 4 Tb 3.47
Nd  0.0715  0.9285  0.5000  8 Nd 3.34-3.68, 2 La 3.52
Nd  0.2314  0.7686  0.0000  1 La 3.22, 2 Nd 3.28
Nd  0.4102  0.5898  0.0000  6 Nd 3.55-3.68, 2 La 3.73, 2 Tb 3.95
Nd  0.5898  0.4102  0.0000  6 Nd 3.55-3.68, 2 La 3.73, 2 Tb 3.95
Nd  0.7686  0.2314  0.0000  1 La 3.22, 2 Nd 3.28
Nd  0.9285  0.0715  0.5000  8 Nd 3.34-3.68, 2 La 3.52

- symmetry = Cmmm, No. 65
- volume (Å³/f.u.) = 422.1
- calculated formation energy (meV per atom) = 113

Entry 5:
Here is an optimized crystal structure of La3Tb3Nd from Alexandria. Energies are from PBE.

Unit cell a=8.3770 b=8.3770 c=8.3770 alpha=69.47 beta=69.47 gamma=69.47
Last column: nearest neighbours and their distance in Å.
Sites, in units of the cell vectors:
La  0.1270  0.2696  0.8356  5 Tb 3.46-3.64, 1 Nd 3.58, 4 La 3.61-3.66
La  0.1644  0.8730  0.7304  5 Tb 3.46-3.64, 1 Nd 3.58, 4 La 3.61-3.66
La  0.2696  0.8356  0.1270  5 Tb 3.46-3.64, 1 Nd 3.58, 4 La 3.61-3.66
La  0.7304  0.1644  0.8730  5 Tb 3.46-3.64, 1 Nd 3.58, 4 La 3.61-3.66
La  0.8356  0.1270  0.2696  5 Tb 3.46-3.64, 1 Nd 3.58, 4 La 3.61-3.66
La  0.8730  0.7304  0.1644  5 Tb 3.46-3.64, 1 Nd 3.58, 4 La 3.61-3.66
Tb  0.0247  0.3095  0.4460  5 La 3.46-3.64, 3 Tb 3.47-3.55, 2 Nd 3.48-3.63
Tb  0.3095  0.4460  0.0247  5 La 3.46-3.64, 3 Tb 3.47-3.55, 2 Nd 3.48-3.63
Tb  0.4460  0.0247  0.3095  5 La 3.46-3.64, 3 Tb 3.47-3.55, 2 Nd 3.48-3.63
Tb  0.5540  0.9753  0.6905  5 La 3.46-3.64, 3 Tb 3.47-3.55, 2 Nd 3.48-3.63
Tb  0.6905  0.5540  0.9753  5 La 3.46-3.64, 3 Tb 3.47-3.55, 2 Nd 3.48-3.63
Tb  0.9753  0.6905  0.5540  5 La 3.46-3.64, 3 Tb 3.47-3.55, 2 Nd 3.48-3.63
Nd  0.4089  0.4089  0.4089  1 Nd 3.45, 6 Tb 3.48-3.63, 3 La 3.58
Nd  0.5911  0.5911  0.5911  1 Nd 3.45, 6 Tb 3.48-3.63, 3 La 3.58

- symmetry = R-3, No. 148
- volume (Å³/f.u.) = 249.0
- calculated formation energy (meV per atom) = 126

Entry 6:
Here is an optimized crystal structure of LaTb4Nd6 from Alexandria. Energies are from PBE.

Unit cell a=10.0445 b=10.0445 c=10.0445 alpha=141.70 beta=141.70 gamma=55.28
Last column: nearest neighbours and their distance in Å.
Sites, in units of the cell vectors:
La  0.0000  0.0000  0.0000  4 Nd 3.30, 4 Tb 3.65
Tb  0.0074  0.0074  0.3751  5 Nd 3.33-3.56, 1 Tb 3.50, 1 La 3.65
Tb  0.3677  0.9926  0.0000  5 Nd 3.33-3.56, 1 Tb 3.50, 1 La 3.65
Tb  0.6323  0.6323  0.6249  5 Nd 3.33-3.56, 1 Tb 3.50, 1 La 3.65
Tb  0.9926  0.3677  0.0000  5 Nd 3.33-3.56, 1 Tb 3.50, 1 La 3.65
Nd  0.0000  0.5000  0.5000  2 La 3.30, 4 Nd 3.38
Nd  0.1868  0.5473  0.0000  5 Tb 3.33-3.56, 3 Nd 3.36-3.38
Nd  0.4527  0.4527  0.6395  5 Tb 3.33-3.56, 3 Nd 3.36-3.38
Nd  0.5000  0.0000  0.5000  2 La 3.30, 4 Nd 3.38
Nd  0.5473  0.1868  0.0000  5 Tb 3.33-3.56, 3 Nd 3.36-3.38
Nd  0.8132  0.8132  0.3605  5 Tb 3.33-3.56, 3 Nd 3.36-3.38

- symmetry = I-42m, No. 121
- volume (Å³/f.u.) = 386.5
- calculated formation energy (meV per atom) = 294

Copy entry 6 word for word.
Here is an optimized crystal structure of LaTb4Nd6 from Alexandria. Energies are from PBE.

Unit cell a=10.0445 b=10.0445 c=10.0445 alpha=141.70 beta=141.70 gamma=55.28
Last column: nearest neighbours and their distance in Å.
Sites, in units of the cell vectors:
La  0.0000  0.0000  0.0000  4 Nd 3.30, 4 Tb 3.65
Tb  0.0074  0.0074  0.3751  5 Nd 3.33-3.56, 1 Tb 3.50, 1 La 3.65
Tb  0.3677  0.9926  0.0000  5 Nd 3.33-3.56, 1 Tb 3.50, 1 La 3.65
Tb  0.6323  0.6323  0.6249  5 Nd 3.33-3.56, 1 Tb 3.50, 1 La 3.65
Tb  0.9926  0.3677  0.0000  5 Nd 3.33-3.56, 1 Tb 3.50, 1 La 3.65
Nd  0.0000  0.5000  0.5000  2 La 3.30, 4 Nd 3.38
Nd  0.1868  0.5473  0.0000  5 Tb 3.33-3.56, 3 Nd 3.36-3.38
Nd  0.4527  0.4527  0.6395  5 Tb 3.33-3.56, 3 Nd 3.36-3.38
Nd  0.5000  0.0000  0.5000  2 La 3.30, 4 Nd 3.38
Nd  0.5473  0.1868  0.0000  5 Tb 3.33-3.56, 3 Nd 3.36-3.38
Nd  0.8132  0.8132  0.3605  5 Tb 3.33-3.56, 3 Nd 3.36-3.38

- symmetry = I-42m, No. 121
- volume (Å³/f.u.) = 386.5
- calculated formation energy (meV per atom) = 294